No. 1
Entry from the Alexandria database: a relaxed structure of LaNdHg (PBE).

## Properties
- Symmetry: P3m1 (156)

Unit cell a=5.250 b=5.250 c=3.830 alpha=90.00 beta=90.00 gamma=120.00
Sites, in units of the cell vectors:
La  0.000  0.000  0.000
Nd  0.667  0.333  0.606
Hg  0.333  0.667  0.349

***

No. 2
Entry from the Alexandria database: a relaxed structure of La2Nd2Hg (PBE).

## Properties
- Symmetry: C2/m (12)

Unit cell a=6.491 b=6.491 c=8.644 alpha=106.30 beta=106.30 gamma=95.51
Sites, in units of the cell vectors:
La  0.160  0.160  0.423
La  0.280  0.280  0.884
La  0.720  0.720  0.116
La  0.840  0.840  0.577
Nd  0.229  0.606  0.279
Nd  0.394  0.771  0.721
Nd  0.606  0.229  0.279
Nd  0.771  0.394  0.721
Hg  0.165  0.835  0.000
Hg  0.835  0.165  0.000

***

No. 3
Entry from the Alexandria database: a relaxed structure of La5Nd4Hg4 (PBE).

## Properties
- Symmetry: I4/m (87)

Unit cell a=9.288 b=9.288 c=9.288 alpha=94.75 beta=94.75 gamma=146.57
Sites, in units of the cell vectors:
La  0.000  0.000  0.000
La  0.313  0.381  0.693
La  0.381  0.687  0.068
La  0.619  0.313  0.932
La  0.687  0.619  0.307
Nd  0.095  0.609  0.704
Nd  0.391  0.095  0.486
Nd  0.609  0.905  0.514
Nd  0.905  0.391  0.296
Hg  0.097  0.237  0.334
Hg  0.237  0.903  0.141
Hg  0.763  0.097  0.859
Hg  0.903  0.763  0.666

***

No. 4
Entry from the Alexandria database: a relaxed structure of La2Nd3Hg (PBE).

## Properties
- Symmetry: C2/m (12)

Unit cell a=6.282 b=6.282 c=11.778 alpha=95.12 beta=95.12 gamma=120.06
Sites, in units of the cell vectors:
La  0.000  0.000  0.000
La  0.163  0.837  0.500
La  0.500  0.500  0.500
La  0.837  0.163  0.500
Nd  0.079  0.426  0.241
Nd  0.266  0.266  0.760
Nd  0.426  0.079  0.241
Nd  0.574  0.921  0.759
Nd  0.734  0.734  0.240
Nd  0.921  0.574  0.759
Hg  0.333  0.667  0.000
Hg  0.667  0.333  0.000

***

No. 5
Entry from the Alexandria database: a relaxed structure of LaNd5Hg (PBE).

## Properties
- Symmetry: C2/c (15)

Unit cell a=8.995 b=8.995 c=7.283 alpha=103.60 beta=103.60 gamma=57.61
Sites, in units of the cell vectors:
La  0.204  0.796  0.750
La  0.796  0.204  0.250
Nd  0.104  0.267  0.581
Nd  0.191  0.809  0.250
Nd  0.267  0.104  0.081
Nd  0.381  0.386  0.408
Nd  0.386  0.381  0.908
Nd  0.614  0.619  0.092
Nd  0.619  0.614  0.592
Nd  0.733  0.896  0.919
Nd  0.809  0.191  0.750
Nd  0.896  0.733  0.419
Hg  0.000  0.500  0.000
Hg  0.500  0.000  0.500

***

No. 6
Entry from the Alexandria database: a relaxed structure of La2Nd6Hg (PBE).

## Properties
- Symmetry: P-62m (189)

Unit cell a=9.711 b=9.711 c=3.809 alpha=90.00 beta=90.00 gamma=120.00
Sites, in units of the cell vectors:
La  0.333  0.667  0.000
La  0.667  0.333  0.000
Nd  0.000  0.379  0.500
Nd  0.000  0.734  0.000
Nd  0.266  0.266  0.000
Nd  0.379  0.000  0.500
Nd  0.621  0.621  0.500
Nd  0.734  0.000  0.000
Hg  0.000  0.000  0.500

***

No. 7
Entry from the Alexandria database: a relaxed structure of La2NdHg3 (PBE).

## Properties
- Symmetry: P4/mmm (123)

Unit cell a=3.883 b=3.883 c=11.689 alpha=90.00 beta=90.00 gamma=90.00
Sites, in units of the cell vectors:
La  0.000  0.000  0.169
La  0.000  0.000  0.831
Nd  0.000  0.000  0.500
Hg  0.500  0.500  0.000
Hg  0.500  0.500  0.340
Hg  0.500  0.500  0.660

***

No. 8
Entry from the Alexandria database: a relaxed structure of LaNd7Hg4 (PBE).

## Properties
- Symmetry: P-1 (2)

Unit cell a=6.621 b=6.711 c=8.587 alpha=80.28 beta=77.28 gamma=88.15
Sites, in units of the cell vectors:
La  0.000  0.000  0.000
Nd  0.120  0.328  0.630
Nd  0.238  0.471  0.043
Nd  0.338  0.815  0.647
Nd  0.500  0.000  0.000
Nd  0.662  0.185  0.353
Nd  0.762  0.529  0.957
Nd  0.880  0.672  0.370
Hg  0.170  0.081  0.335
Hg  0.419  0.638  0.312
Hg  0.581  0.362  0.688
Hg  0.830  0.919  0.665

***

No. 9
Entry from the Alexandria database: a relaxed structure of LaNdHg5 (PBE).

## Properties
- Symmetry: P4/mmm (123)

Unit cell a=4.772 b=4.772 c=8.805 alpha=90.00 beta=90.00 gamma=90.00
Sites, in units of the cell vectors:
La  0.000  0.000  0.000
Nd  0.500  0.500  0.500
Hg  0.000  0.000  0.500
Hg  0.000  0.500  0.246
Hg  0.000  0.500  0.754
Hg  0.500  0.000  0.246
Hg  0.500  0.000  0.754

***

No. 10
Entry from the Alexandria database: a relaxed structure of La3NdHg3 (PBE).

## Properties
- Symmetry: Cmmm (65)

Unit cell a=7.746 b=7.746 c=7.482 alpha=90.00 beta=90.00 gamma=91.10
Sites, in units of the cell vectors:
La  0.237  0.237  0.500
La  0.240  0.240  0.000
La  0.247  0.753  0.000
La  0.753  0.247  0.000
La  0.760  0.760  0.000
La  0.763  0.763  0.500
Nd  0.251  0.749  0.500
Nd  0.749  0.251  0.500
Hg  0.000  0.500  0.254
Hg  0.000  0.500  0.746
Hg  0.500  0.000  0.254
Hg  0.500  0.000  0.746
Hg  0.500  0.500  0.254
Hg  0.500  0.500  0.746

***

No. 11
Entry from the Alexandria database: a relaxed structure of La3NdHg6 (PBE).

## Properties
- Symmetry: P2_1/m (11)

Unit cell a=9.698 b=5.319 c=11.510 alpha=90.00 beta=107.05 gamma=90.00
Sites, in units of the cell vectors:
La  0.007  0.250  0.382
La  0.146  0.750  0.213
La  0.276  0.250  0.988
La  0.724  0.750  0.012
La  0.854  0.250  0.787
La  0.993  0.750  0.618
Nd  0.440  0.250  0.609
Nd  0.560  0.750  0.391
Hg  0.034  0.750  0.917
Hg  0.165  0.250  0.698
Hg  0.262  0.750  0.502
Hg  0.347  0.250  0.309
Hg  0.363  0.750  0.807
Hg  0.437  0.750  0.107
Hg  0.563  0.250  0.893
Hg  0.637  0.250  0.193
Hg  0.653  0.750  0.691
Hg  0.738  0.250  0.498
Hg  0.835  0.750  0.302
Hg  0.966  0.250  0.083

***

No. 12
Entry from the Alexandria database: a relaxed structure of La3Nd4Hg (PBE).

## Properties
- Symmetry: P4/mmm (123)

Unit cell a=3.743 b=3.743 c=19.439 alpha=90.00 beta=90.00 gamma=90.00
Sites, in units of the cell vectors:
La  0.000  0.000  0.000
La  0.000  0.000  0.266
La  0.000  0.000  0.734
Nd  0.500  0.500  0.133
Nd  0.500  0.500  0.397
Nd  0.500  0.500  0.603
Nd  0.500  0.500  0.867
Hg  0.000  0.000  0.500

***

Energy values (in eV per atom) by entry order: -3.54; -4.06; -3.76; -4.16; -4.16; -4.39; -3.08; -3.54; -1.92; -3.26; -2.60; -4.38.
Formation energy values (in eV/atom) by entry order: -0.208; -0.117; -0.308; -0.081; -0.009; -0.085; -0.490; -0.251; -0.320; -0.337; -0.460; -0.112.